Ta2BiPd2 after structural relaxation. Source: Alexandria, functional PBE.

The structure in POSCAR format:
```
Ta2BiPd2
1.0
8.033 0.000 0.000
0.000 8.033 0.000
0.000 0.000 2.984
Pd Ta Bi
4 4 2
Cartesian
6.998 5.052 0.000
5.052 1.035 0.000
1.035 2.982 0.000
2.982 6.998 0.000
1.286 5.303 1.492
5.303 6.747 1.492
2.731 1.286 1.492
6.747 2.731 1.492
4.017 4.017 0.000
0.000 0.000 0.000
```

Calculated values
Formation enthalpy at 0 K (eV/atom): 0.121
Total energy (eV per atom): -7.473



Ta3BiPd after structural relaxation. Source: Alexandria, functional PBE.

The structure in POSCAR format:
```
Ta3BiPd
1.0
-0.398 -5.024 -0.717
1.287 -0.796 4.860
-4.909 0.199 1.333
Bi Pd Ta
1 1 3
Cartesian
0.000 0.000 0.000
-2.010 -2.810 2.738
-0.199 -2.512 -0.359
0.644 -0.398 2.430
-2.454 0.100 0.666
```

Calculated values
Formation enthalpy at 0 K (eV/atom): 2.404
Total energy (eV per atom): -6.522